# 1
Rb2HgAsF6: optimized geometry, PBE.

Its total moment is 0.0 μB per formula unit.

Cell: 6.622 6.622 6.622 Å, 119.90 119.90 90.17°
Fractional positions:
Rb1 0.250 0.750 0.500
Rb2 0.750 0.250 0.500
Hg1 0.000 0.000 0.000
As1 0.500 0.500 0.000
F1 0.286 0.286 0.000
F2 0.287 0.287 0.574
F3 0.287 0.713 0.000
F4 0.713 0.287 0.000
F5 0.713 0.713 0.426
F6 0.714 0.714 0.000


# 2
Re2HgAsF: optimized geometry, PBE.

Its total moment is 8.4 μB per formula unit.

Cell: 5.385 5.385 5.011 Å, 90.00 90.00 90.00°
Fractional positions:
Re1 0.000 0.500 0.000
Re2 0.500 0.000 0.000
Hg1 0.000 0.000 0.000
As1 0.000 0.000 0.500
F1 0.500 0.500 0.500


Number 1: formation energy without anion corrections -2.13 eV per atom. Number 2: formation energy without anion corrections 2.38 eV per atom.